! GGA-PBE SrTl2Ga, optimized geometry; values from VASP
! - crystal system = tetragonal
! - energy above the lowest structure with this stoichiometry (meV/atom) = 43
! - total energy (eV per atom) = -2.569
! - energy of formation from the pure elements (eV/atom) = -0.209
&SYSTEM
  ibrav = 0, nat = 4, ntyp = 3
/
ATOMIC_SPECIES
Sr 87.62 Sr.upf
Tl 204.38 Tl.upf
Ga 69.72 Ga.upf
ATOMIC_POSITIONS angstrom
Sr 0.0000 0.0000 0.0000
Tl 0.0000 2.4168 2.4523
Tl 2.4168 0.0000 2.4523
Ga 2.4168 2.4168 0.0000
CELL_PARAMETERS angstrom
4.8337 0.0000 0.0000
0.0000 4.8337 0.0000
0.0000 0.0000 4.9046

! GGA-PBE Sr2TlGa, optimized geometry; values from VASP
! - crystal system = tetragonal
! - energy above the lowest structure with this stoichiometry (meV/atom) = 0
! - total energy (eV per atom) = -2.579
! - energy of formation from the pure elements (eV/atom) = -0.390
&SYSTEM
  ibrav = 0, nat = 4, ntyp = 3
/
ATOMIC_SPECIES
Sr 87.62 Sr.upf
Tl 204.38 Tl.upf
Ga 69.72 Ga.upf
ATOMIC_POSITIONS angstrom
Sr 0.0000 0.0000 1.9172
Sr 0.0000 0.0000 6.2488
Tl 1.9821 1.9821 4.0830
Ga 1.9821 1.9821 0.0000
CELL_PARAMETERS angstrom
3.9641 0.0000 0.0000
0.0000 3.9641 0.0000
0.0000 0.0000 8.1660

! GGA-PBE Sr6Tl2Ga, optimized geometry; values from VASP
! - crystal system = orthorhombic
! - energy above the lowest structure with this stoichiometry (meV/atom) = 12
! - total energy (eV per atom) = -2.262
! - energy of formation from the pure elements (eV/atom) = -0.279
&SYSTEM
  ibrav = 0, nat = 18, ntyp = 3
/
ATOMIC_SPECIES
Sr 87.62 Sr.upf
Tl 204.38 Tl.upf
Ga 69.72 Ga.upf
ATOMIC_POSITIONS angstrom
Sr 0.3220 2.2570 0.0000
Sr 1.2745 6.8105 2.8574
Sr 2.2517 10.7538 2.8574
Sr 3.2853 5.2122 0.0000
Sr 4.2625 1.2689 0.0000
Sr 5.2150 7.7986 2.8574
Sr 5.8590 3.2845 2.8574
Sr 6.8115 9.8142 0.0000
Sr 7.7887 5.8709 0.0000
Sr 8.8223 0.3293 2.8574
Sr 9.7995 4.2726 2.8574
Sr 10.7520 8.8261 0.0000
Tl 2.3010 3.2286 2.8574
Tl 3.2360 8.7702 0.0000
Tl 7.8380 2.3129 0.0000
Tl 8.7730 7.8545 2.8574
Ga 0.0000 5.5416 0.0000
Ga 5.5370 0.0000 2.8574
CELL_PARAMETERS angstrom
11.0740 0.0000 0.0000
0.0000 11.0831 0.0000
0.0000 0.0000 5.7148

! GGA-PBE Sr12Tl5Ga2, optimized geometry; values from VASP
! - crystal system = monoclinic
! - total energy (eV per atom) = -2.213
! - energy of formation from the pure elements (eV/atom) = -0.210
&SYSTEM
  ibrav = 0, nat = 19, ntyp = 3
/
ATOMIC_SPECIES
Sr 87.62 Sr.upf
Tl 204.38 Tl.upf
Ga 69.72 Ga.upf
ATOMIC_POSITIONS angstrom
Sr -0.0468 0.0000 3.1113
Sr 4.7783 2.0604 9.4732
Sr 5.8718 1.9970 4.5653
Sr 11.1749 1.9970 6.1842
Sr 12.2684 2.0604 1.2763
Sr 8.2954 0.0000 1.8542
Sr 8.7513 0.0000 8.8953
Sr 4.7783 -2.0604 9.4732
Sr 5.8718 -1.9970 4.5653
Sr 11.1749 -1.9970 6.1842
Sr 12.2684 -2.0604 1.2763
Sr 17.0935 0.0000 7.6382
Tl 1.7020 0.0000 9.1719
Tl 3.2597 0.0000 3.9265
Tl 8.5234 0.0000 5.3747
Tl 13.7870 0.0000 6.8230
Tl 15.3447 0.0000 1.5776
Ga 9.1922 2.7531 0.0000
Ga 9.1922 -2.7531 0.0000
CELL_PARAMETERS angstrom
9.1922 -4.0722 0.0000
9.1922 4.0722 0.0000
-1.3376 0.0000 10.7495

! GGA-PBE Sr4TlGa3, optimized geometry; values from VASP
! - crystal system = orthorhombic
! - total energy (eV per atom) = -2.657
! - energy of formation from the pure elements (eV/atom) = -0.386
&SYSTEM
  ibrav = 0, nat = 8, ntyp = 3
/
ATOMIC_SPECIES
Sr 87.62 Sr.upf
Tl 204.38 Tl.upf
Ga 69.72 Ga.upf
ATOMIC_POSITIONS angstrom
Sr 0.0000 0.0000 0.0000
Sr 0.0000 2.3568 3.4624
Sr 2.2393 0.0000 6.0505
Sr 2.2393 2.3568 9.7303
Tl 0.0000 0.0000 8.7616
Ga 0.0000 2.3568 6.9771
Ga 2.2393 0.0000 2.4911
Ga 2.2393 2.3568 0.9392
CELL_PARAMETERS angstrom
4.4787 0.0000 0.0000
0.0000 4.7135 0.0000
0.0000 0.0000 12.3934

! GGA-PBE SrTl2Ga2, optimized geometry; values from VASP
! - crystal system = tetragonal
! - energy above the lowest structure with this stoichiometry (meV/atom) = 0
! - total energy (eV per atom) = -2.724
! - energy of formation from the pure elements (eV/atom) = -0.230
&SYSTEM
  ibrav = 0, nat = 10, ntyp = 3
/
ATOMIC_SPECIES
Sr 87.62 Sr.upf
Tl 204.38 Tl.upf
Ga 69.72 Ga.upf
ATOMIC_POSITIONS angstrom
Sr 0.0000 0.0000 0.0000
Sr 2.4426 2.4426 5.7369
Tl 0.0000 2.4426 2.8685
Tl 0.0000 2.4426 8.6054
Tl 2.4426 0.0000 2.8685
Tl 2.4426 0.0000 8.6054
Ga 0.0000 0.0000 4.4874
Ga 0.0000 0.0000 6.9864
Ga 2.4426 2.4426 1.2495
Ga 2.4426 2.4426 10.2244
CELL_PARAMETERS angstrom
4.8852 0.0000 0.0000
0.0000 4.8852 0.0000
0.0000 0.0000 11.4739